Compound: TmNbCo2
Source: Alexandria
Functional: PBE
Structure: optimized geometry

Output
symmetry = Fm-3m, No. 225
energy of formation from the pure elements = -0.052 eV per atom
energy above the lowest structure with this stoichiometry = 35 kJ/mol of formula units

Structure (extended XYZ):
```
4
Lattice="-0.910 2.519 -3.598 -4.221 1.266 -0.843 -1.199 4.292 0.512" Properties=species:S:1:pos:R:3 pbc="T T T"
Nb -3.165 4.039 -1.964
Tm 0.000 0.000 0.000
Co -4.748 6.058 -2.947
Co -1.583 2.019 -0.982
```